# NaSrV2, optimized geometry, DFT GGA-PBE
data_NaSrV2
_space_group_name_H-M_alt 'I -4 2 d'
_space_group_IT_number 122
_space_group_name_Hall 'I -4 2bw'
_cell_length_a 8.735
_cell_length_b 8.735
_cell_length_c 6.062
_cell_angle_alpha 90.00
_cell_angle_beta 90.00
_cell_angle_gamma 90.00
loop_
_atom_site_label
_atom_site_fract_x
_atom_site_fract_y
_atom_site_fract_z
Na1 0.000 0.000 0.000
Sr1 0.000 0.000 0.500
V1 0.225 0.750 0.125
# * size of the total moment: 1.965 μB/atom
# * DFT formation energy: 129 kJ/mol of atoms
# * final energy: -3.9688 eV/atom


# Na2SrV4, optimized geometry, DFT GGA-PBE
data_Na2SrV4
_space_group_name_H-M_alt 'I 4/m m m'
_space_group_IT_number 139
_space_group_name_Hall '-I 4 2'
_cell_length_a 5.307
_cell_length_b 5.307
_cell_length_c 15.601
_cell_angle_alpha 90.00
_cell_angle_beta 90.00
_cell_angle_gamma 90.00
loop_
_atom_site_label
_atom_site_fract_x
_atom_site_fract_y
_atom_site_fract_z
Na1 0.000 0.000 0.125
Sr1 0.000 0.000 0.500
V1 0.000 0.000 0.326
V2 0.000 0.500 0.000
# * size of the total moment: 0.111 μB/atom
# * DFT formation energy: 197 kJ/mol of atoms
# * final energy: -3.7842 eV/atom


# NaSr2W, optimized geometry, DFT GGA-PBE
data_NaSr2W
_space_group_name_H-M_alt 'F m -3 m'
_space_group_IT_number 225
_space_group_name_Hall '-F 4 2 3'
_cell_length_a 8.080
_cell_length_b 8.080
_cell_length_c 8.080
_cell_angle_alpha 90.00
_cell_angle_beta 90.00
_cell_angle_gamma 90.00
loop_
_atom_site_label
_atom_site_fract_x
_atom_site_fract_y
_atom_site_fract_z
Na1 0.000 0.000 0.000
Sr1 0.250 0.250 0.250
W1 0.000 0.000 0.500
# * size of the total moment: 0.764 μB/atom
# * DFT formation energy: 99 kJ/mol of atoms
# * final energy: -3.3849 eV/atom


# NaSr3W, optimized geometry, DFT GGA-PBE
data_NaSr3W
_space_group_name_H-M_alt 'P m -3 m'
_space_group_IT_number 221
_space_group_name_Hall '-P 4 2 3'
_cell_length_a 5.988
_cell_length_b 5.988
_cell_length_c 5.988
_cell_angle_alpha 90.00
_cell_angle_beta 90.00
_cell_angle_gamma 90.00
loop_
_atom_site_label
_atom_site_fract_x
_atom_site_fract_y
_atom_site_fract_z
Na1 0.000 0.000 0.000
Sr1 0.000 0.500 0.500
W1 0.500 0.500 0.500
# * size of the total moment: 0.000 μB/atom
# * DFT formation energy: 86 kJ/mol of atoms
# * final energy: -2.9729 eV/atom


# Na3SrW, optimized geometry, DFT GGA-PBE
data_Na3SrW
_space_group_name_H-M_alt 'P m -3 m'
_space_group_IT_number 221
_space_group_name_Hall '-P 4 2 3'
_cell_length_a 6.288
_cell_length_b 6.288
_cell_length_c 6.288
_cell_angle_alpha 90.00
_cell_angle_beta 90.00
_cell_angle_gamma 90.00
loop_
_atom_site_label
_atom_site_fract_x
_atom_site_fract_y
_atom_site_fract_z
Na1 0.000 0.000 0.500
Sr1 0.000 0.000 0.000
W1 0.500 0.500 0.500
# * size of the total moment: 0.877 μB/atom
# * DFT formation energy: 189 kJ/mol of atoms
# * final energy: -1.7630 eV/atom


# NaSr2W, optimized geometry, DFT GGA-PBE
data_NaSr2W
_space_group_name_H-M_alt 'I -4 2 d'
_space_group_IT_number 122
_space_group_name_Hall 'I -4 2bw'
_cell_length_a 5.152
_cell_length_b 5.152
_cell_length_c 22.884
_cell_angle_alpha 90.00
_cell_angle_beta 90.00
_cell_angle_gamma 90.00
loop_
_atom_site_label
_atom_site_fract_x
_atom_site_fract_y
_atom_site_fract_z
Na1 0.000 0.000 0.000
Sr1 0.234 0.250 0.625
W1 0.000 0.000 0.500
# * size of the total moment: 0.899 μB/atom
# * DFT formation energy: 144 kJ/mol of atoms
# * final energy: -2.9155 eV/atom


# NaSr2W2, optimized geometry, DFT GGA-PBE
data_NaSr2W2
_space_group_name_H-M_alt 'P 4/m b m'
_space_group_IT_number 127
_space_group_name_Hall '-P 4 2ab'
_cell_length_a 9.603
_cell_length_b 9.603
_cell_length_c 3.165
_cell_angle_alpha 90.00
_cell_angle_beta 90.00
_cell_angle_gamma 90.00
loop_
_atom_site_label
_atom_site_fract_x
_atom_site_fract_y
_atom_site_fract_z
Na1 0.000 0.000 0.000
Sr1 0.201 0.299 0.000
W1 0.084 0.584 0.500
# * size of the total moment: 0.000 μB/atom
# * DFT formation energy: 106 kJ/mol of atoms
# * final energy: -5.0193 eV/atom


# NaSr2W2, optimized geometry, DFT GGA-PBE
data_NaSr2W2
_space_group_name_H-M_alt 'I 4/m m m'
_space_group_IT_number 139
_space_group_name_Hall '-I 4 2'
_cell_length_a 3.703
_cell_length_b 3.703
_cell_length_c 23.895
_cell_angle_alpha 90.00
_cell_angle_beta 90.00
_cell_angle_gamma 90.00
loop_
_atom_site_label
_atom_site_fract_x
_atom_site_fract_y
_atom_site_fract_z
Na1 0.000 0.000 0.000
Sr1 0.000 0.000 0.367
W1 0.000 0.500 0.250
# * size of the total moment: 0.000 μB/atom
# * DFT formation energy: 71 kJ/mol of atoms
# * final energy: -5.3865 eV/atom


Number 1: D(E_F) 1.948 states/eV/atom. Number 2: D(E_F) 2.348 states/eV/atom. Number 3: D(E_F) 0.522 states/eV/atom. Number 4: D(E_F) 1.059 states/eV/atom. Number 5: D(E_F) 0.919 states/eV/atom. Number 6: D(E_F) 0.861 states/eV/atom. Number 7: D(E_F) 1.017 states/eV/atom. Number 8: D(E_F) 1.082 states/eV/atom.